{"formula": "AcPmNiPd", "functional": "PBE-GGA", "state": "optimized geometry", "magnetic_moment_mub_per_cell": 0.000, "crystal_system": "orthorhombic", "density_kg_m3": 8902, "relative_energy_mev_per_atom": 0, "final_energy_ry_per_atom": -0.403, "formation_energy_ev_per_atom": -0.528, "spacegroup": "No. 38", "lattice": [[4.003, 0.000, 0.000], [0.000, 4.561, 0.000], [-2.001, 0.000, 5.488]], "species": ["Ac", "Pm", "Ni", "Pd"], "fractional_positions": [[0.859, 0.500, 0.718], [0.133, 0.000, 0.267], [0.583, 0.500, 0.166], [0.425, 0.000, 0.849]]}